Below is RbBiTe2Au after structural relaxation, with properties calculated at the PBE level.

It has space group P4/mmm (No. 123), with a = 6.222 Å, b = 6.222 Å, c = 5.487 Å, α = 90.00°, β = 90.00° and γ = 90.00°. Symmetry generates all atoms from Rb at (0.000, 0.000, 0.000), Bi at (0.500, 0.500, 0.500), Te at (0.000, 0.500, 0.000) and Au at (0.000, 0.000, 0.500).

As for the theoretical density: 5.84 Mg/m³. The calculation puts the magnetic moment at 0.00 μB per cell. Its density of states at the Fermi level is 1.43 states/eV per atom. Its energy is -0.068 hartree per atom.

---

Below is RbTlBiAu after structural relaxation, with properties calculated at the PBE level.

It has space group F-43m (No. 216), with a = 7.887 Å, b = 7.887 Å, c = 7.887 Å, α = 90.00°, β = 90.00° and γ = 90.00°. Symmetry generates all atoms from Rb at (0.000, 0.000, 0.000), Tl at (0.250, 0.250, 0.750), Bi at (0.000, 0.000, 0.500) and Au at (0.250, 0.250, 0.250).

As for the theoretical density: 9.42 Mg/m³. The calculation puts the magnetic moment at 0.00 μB per cell. The value obtained for the energy relative to the elements is -0.0446 eV/atom. Its density of states at the Fermi level is 0.36 states/eV per atom.

---

Below is Rb3Tl4Bi2Au2 after structural relaxation, with properties calculated at the PBE level.

It has space group P-3m1 (No. 164), with a = 5.6187 Å, b = 5.6187 Å, c = 14.8467 Å, α = 90.00°, β = 90.00° and γ = 120.00°. Symmetry generates all atoms from Rb at (0.0000, 0.0000, 0.0000), Rb at (0.0000, 0.0000, 0.3065), Tl at (0.3333, 0.6667, 0.4100), Tl at (0.3333, 0.6667, 0.8159), Bi at (0.3333, 0.6667, 0.1671) and Au at (0.3333, 0.6667, 0.6100).

As for the theoretical density: 7.71 Mg/m³. The calculation puts the magnetic moment at 0.00 μB per cell. The value obtained for the energy relative to the elements is -0.1490 eV/atom. Its density of states at the Fermi level is 0.40 states/eV per atom.

---

Below is ReBi3Au after structural relaxation, with properties calculated at the PBE level.

It has space group Pm-3m (No. 221), with a = 5.317 Å, b = 5.317 Å, c = 5.317 Å, α = 90.00°, β = 90.00° and γ = 90.00°. Symmetry generates all atoms from Re at (0.000, 0.000, 0.000), Bi at (0.000, 0.000, 0.500) and Au at (0.500, 0.500, 0.500).

As for the theoretical density: 11.16 Mg/m³. The calculation puts the magnetic moment at 0.00 μB per cell. The value obtained for the energy relative to the elements is 0.8266 eV/atom. Its density of states at the Fermi level is 1.51 states/eV per atom.

---

Below is ReBiAu3 after structural relaxation, with properties calculated at the PBE level.

It has space group Pm-3m (No. 221), with a = 5.034 Å, b = 5.034 Å, c = 5.034 Å, α = 90.00°, β = 90.00° and γ = 90.00°. Symmetry generates all atoms from Re at (0.000, 0.000, 0.000), Bi at (0.500, 0.500, 0.500) and Au at (0.000, 0.000, 0.500).

As for the theoretical density: 12.83 Mg/m³. The calculation puts the magnetic moment at 0.00 μB per cell. The value obtained for the energy relative to the elements is 1.0875 eV/atom. Its density of states at the Fermi level is 0.98 states/eV per atom.

---

Below is ReSi2BiAu after structural relaxation, with properties calculated at the PBE level.

It has space group P4/mmm (No. 123), with a = 4.712 Å, b = 4.712 Å, c = 5.345 Å, α = 90.00°, β = 90.00° and γ = 90.00°. Symmetry generates all atoms from Re at (0.000, 0.000, 0.000), Si at (0.000, 0.500, 0.500), Bi at (0.500, 0.500, 0.000) and Au at (0.000, 0.000, 0.500).

As for the theoretical density: 9.07 Mg/m³. The calculation puts the magnetic moment at 3.07 μB per cell. Its density of states at the Fermi level is 0.74 states/eV per atom. Its energy is -0.173 hartree per atom.

---

Below is TiReBi2Au after structural relaxation, with properties calculated at the PBE level.

It has space group P4/mmm (No. 123), with a = 5.248 Å, b = 5.248 Å, c = 5.211 Å, α = 90.00°, β = 90.00° and γ = 90.00°. Symmetry generates all atoms from Ti at (0.000, 0.000, 0.000), Re at (0.500, 0.500, 0.500), Bi at (0.000, 0.500, 0.500) and Au at (0.500, 0.500, 0.000).

As for the theoretical density: 9.82 Mg/m³. The calculation puts the magnetic moment at 3.05 μB per cell. The value obtained for the energy relative to the elements is 1.0908 eV/atom. Its density of states at the Fermi level is 1.27 states/eV per atom.

---

Below is ReBiWAu2 after structural relaxation, with properties calculated at the PBE level.

It has space group P4/mmm (No. 123), with a = 5.064 Å, b = 5.064 Å, c = 5.146 Å, α = 90.00°, β = 90.00° and γ = 90.00°. Symmetry generates all atoms from Re at (0.000, 0.000, 0.000), Bi at (0.000, 0.000, 0.500), W at (0.500, 0.500, 0.000) and Au at (0.000, 0.500, 0.500).

As for the theoretical density: 12.24 Mg/m³. The calculation puts the magnetic moment at 2.31 μB per cell. The value obtained for the energy relative to the elements is 2.6871 eV/atom. Its density of states at the Fermi level is 1.47 states/eV per atom.

---

Which value of theoretical density does entry 4 give?
11.16 Mg/m³

---

What is the magnetic moment in the first record?
0.00 μB per cell

---

Which of these has the lowest theoretical density?
RbBiTe2Au

---

Among the records above, which one has the highest magnetic moment?
ReSi2BiAu